A PBEsol-optimized structure of K2Mg2Pb, computed with SCAN. Values from VASP.

Quantum ESPRESSO input file:
```
&SYSTEM
  ibrav = 0, nat = 5, ntyp = 3
/
ATOMIC_SPECIES
Pb 207.20 Pb.upf
K 39.10 K.upf
Mg 24.30 Mg.upf
CELL_PARAMETERS angstrom
4.036 0.000 0.000
0.000 4.036 0.000
-2.018 -2.018 11.707
ATOMIC_POSITIONS crystal
Pb 0.000 0.000 0.000
K 0.397 0.397 0.794
K 0.603 0.603 0.206
Mg 0.250 0.750 0.500
Mg 0.750 0.250 0.500
```

Output
Space-group type: I4/mmm
Energy of formation from the pure elements: 0.1321 eV/atom
DOS at the Fermi energy: 0.832 states/eV per atom
E_tot: -20.35 eV/atom
Magnetization: 0.193 μB per cell



A PBEsol-optimized structure of ThAl3, computed with SCAN. Values from VASP.

Quantum ESPRESSO input file:
```
&SYSTEM
  ibrav = 0, nat = 8, ntyp = 2
/
ATOMIC_SPECIES
Al 26.98 Al.upf
Th 232.04 Th.upf
CELL_PARAMETERS angstrom
4.592 0.000 0.000
0.000 6.465 0.000
0.000 -3.233 5.599
ATOMIC_POSITIONS crystal
Al 0.250 0.284 0.142
Al 0.750 0.142 0.858
Al 0.750 0.142 0.284
Al 0.250 0.858 0.716
Al 0.250 0.858 0.142
Al 0.750 0.716 0.858
Th 0.250 0.333 0.667
Th 0.750 0.667 0.333
```

Output
Space-group type: P6_3/mmc
Energy of formation from the pure elements: -0.3810 eV/atom
DOS at the Fermi energy: 0.467 states/eV per atom
E_tot: -30.17 eV/atom
Magnetization: 0.145 μB per cell



A PBEsol-optimized structure of Li2Si3NiO8, computed with SCAN. Values from VASP.

Quantum ESPRESSO input file:
```
&SYSTEM
  ibrav = 0, nat = 56, ntyp = 4
/
ATOMIC_SPECIES
Li 6.94 Li.upf
Si 28.09 Si.upf
Ni 58.69 Ni.upf
O 16.00 O.upf
CELL_PARAMETERS angstrom
-4.860 1.176 -6.070
-0.122 -7.738 -1.401
-6.182 -0.772 4.800
ATOMIC_POSITIONS crystal
Li 0.008 0.008 0.008
Li 0.242 0.242 0.242
Li 0.258 0.758 0.742
Li 0.492 0.992 0.508
Li 0.508 0.492 0.992
Li 0.742 0.258 0.758
Li 0.758 0.742 0.258
Li 0.992 0.508 0.492
Si 0.116 0.134 0.625
Si 0.125 0.384 0.866
Si 0.134 0.625 0.116
Si 0.366 0.375 0.616
Si 0.375 0.616 0.366
Si 0.384 0.866 0.125
Si 0.616 0.366 0.375
Si 0.625 0.116 0.134
Si 0.634 0.875 0.884
Si 0.866 0.125 0.384
Si 0.875 0.884 0.634
Si 0.884 0.634 0.875
Ni 0.125 0.875 0.375
Ni 0.375 0.125 0.875
Ni 0.625 0.625 0.625
Ni 0.875 0.375 0.125
O 0.089 0.133 0.398
O 0.102 0.911 0.633
O 0.119 0.619 0.881
O 0.117 0.161 0.852
O 0.133 0.398 0.089
O 0.131 0.369 0.631
O 0.148 0.617 0.339
O 0.161 0.852 0.117
O 0.339 0.148 0.617
O 0.352 0.383 0.839
O 0.369 0.631 0.131
O 0.367 0.602 0.589
O 0.383 0.839 0.352
O 0.381 0.381 0.381
O 0.398 0.089 0.133
O 0.411 0.867 0.898
O 0.589 0.367 0.602
O 0.602 0.589 0.367
O 0.619 0.881 0.119
O 0.617 0.339 0.148
O 0.633 0.102 0.911
O 0.631 0.131 0.369
O 0.648 0.883 0.661
O 0.661 0.648 0.883
O 0.839 0.352 0.383
O 0.852 0.117 0.161
O 0.869 0.869 0.869
O 0.867 0.898 0.411
O 0.883 0.661 0.648
O 0.881 0.119 0.619
O 0.898 0.411 0.867
O 0.911 0.633 0.102
```

Output
Space-group type: P4_332
DOS at the Fermi energy: 0.000 states/eV per atom
E_tot: -9.82 eV/atom
Distance to the lowest polymorph of the same formula: 0.00 eV/f.u.
Magnetization: 7.996 μB per cell
Uncorrected formation energy: -2.616 eV per atom



A PBEsol-optimized structure of Bi3SbH, computed with SCAN. Values from VASP.

Quantum ESPRESSO input file:
```
&SYSTEM
  ibrav = 0, nat = 5, ntyp = 3
/
ATOMIC_SPECIES
Sb 121.76 Sb.upf
Bi 208.98 Bi.upf
H 1.01 H.upf
CELL_PARAMETERS angstrom
-4.022 -1.838 -2.175
-1.641 -1.581 4.369
-2.328 4.290 0.678
ATOMIC_POSITIONS crystal
Sb 0.500 0.500 0.500
Bi 0.000 0.500 0.000
Bi 0.000 0.000 0.500
Bi 0.500 0.000 0.000
H 0.000 0.000 0.000
```

Output
Space-group type: Pm-3m
DOS at the Fermi energy: 0.628 states/eV per atom
E_tot: -54.76 eV/atom
Magnetization: 0.000 μB per cell



A PBEsol-optimized structure of ZrTa4Be, computed with SCAN. Values from VASP.

Quantum ESPRESSO input file:
```
&SYSTEM
  ibrav = 0, nat = 6, ntyp = 3
/
ATOMIC_SPECIES
Be 9.01 Be.upf
Ta 180.95 Ta.upf
Zr 91.22 Zr.upf
CELL_PARAMETERS angstrom
5.416 0.000 0.000
2.708 4.690 0.000
2.708 1.563 4.422
ATOMIC_POSITIONS crystal
Be 0.000 0.000 0.000
Ta 0.376 0.376 0.376
Ta 0.376 0.376 0.871
Ta 0.871 0.376 0.376
Ta 0.376 0.871 0.376
Zr 0.750 0.750 0.750
```

Output
Space-group type: F-43m
Energy of formation from the pure elements: 0.4484 eV/atom
DOS at the Fermi energy: 0.848 states/eV per atom
E_tot: -49.78 eV/atom
Magnetization: 0.000 μB per cell



A PBEsol-optimized structure of Mg2ZnSb, computed with SCAN. Values from VASP.

Quantum ESPRESSO input file:
```
&SYSTEM
  ibrav = 0, nat = 4, ntyp = 3
/
ATOMIC_SPECIES
Mg 24.30 Mg.upf
Sb 121.76 Sb.upf
Zn 65.41 Zn.upf
CELL_PARAMETERS angstrom
-1.370 4.511 -1.557
-3.492 2.523 2.468
1.240 4.019 2.638
ATOMIC_POSITIONS crystal
Mg 0.000 0.000 0.000
Mg 0.750 0.750 0.750
Sb 0.500 0.500 0.500
Zn 0.250 0.250 0.250
```

Output
Space-group type: F-43m
DOS at the Fermi energy: 0.507 states/eV per atom
E_tot: -15.13 eV/atom
Distance to the lowest polymorph of the same formula: 0.89 eV/f.u.
Magnetization: 0.000 μB per cell
Uncorrected formation energy: 0.051 eV per atom



A PBEsol-optimized structure of Zr2TcMo, computed with SCAN. Values from VASP.

Quantum ESPRESSO input file:
```
&SYSTEM
  ibrav = 0, nat = 4, ntyp = 3
/
ATOMIC_SPECIES
Mo 95.94 Mo.upf
Tc 98.00 Tc.upf
Zr 91.22 Zr.upf
CELL_PARAMETERS angstrom
3.149 0.000 0.000
0.000 3.149 0.000
0.000 0.000 7.228
ATOMIC_POSITIONS crystal
Mo 0.000 0.000 0.530
Tc 0.500 0.500 0.725
Zr 0.000 0.000 0.974
Zr 0.500 0.500 0.270
```

Output
Space-group type: P4mm
Energy of formation from the pure elements: -0.0946 eV/atom
DOS at the Fermi energy: 0.969 states/eV per atom
E_tot: -32.93 eV/atom
Magnetization: 0.000 μB per cell



A PBEsol-optimized structure of CdIn3H, computed with SCAN. Values from VASP.

Quantum ESPRESSO input file:
```
&SYSTEM
  ibrav = 0, nat = 5, ntyp = 3
/
ATOMIC_SPECIES
H 1.01 H.upf
Cd 112.41 Cd.upf
In 114.82 In.upf
CELL_PARAMETERS angstrom
-3.777 -0.278 2.730
2.521 -2.187 3.265
1.084 4.115 1.920
ATOMIC_POSITIONS crystal
H 0.000 0.000 0.000
Cd 0.500 0.500 0.500
In 0.000 0.500 0.000
In 0.000 0.000 0.500
In 0.500 0.000 0.000
```

Output
Space-group type: Pm-3m
DOS at the Fermi energy: 0.330 states/eV per atom
E_tot: -26.53 eV/atom
Magnetization: 0.000 μB per cell



A PBEsol-optimized structure of CaFePt2, computed with SCAN. Values from VASP.

Quantum ESPRESSO input file:
```
&SYSTEM
  ibrav = 0, nat = 4, ntyp = 3
/
ATOMIC_SPECIES
Ca 40.08 Ca.upf
Fe 55.84 Fe.upf
Pt 195.08 Pt.upf
CELL_PARAMETERS angstrom
-3.090 -0.067 -1.182
-1.175 -0.221 3.086
-0.275 6.401 0.354
ATOMIC_POSITIONS crystal
Ca 0.000 0.000 0.489
Fe 0.500 0.500 0.824
Pt 0.000 0.000 0.968
Pt 0.500 0.500 0.219
```

Output
Space-group type: P4mm
Energy of formation from the pure elements: -0.2708 eV/atom
DOS at the Fermi energy: 0.513 states/eV per atom
E_tot: -42.32 eV/atom
Magnetization: 3.589 μB per cell



A PBEsol-optimized structure of MgZn4Ni, computed with SCAN. Values from VASP.

Quantum ESPRESSO input file:
```
&SYSTEM
  ibrav = 0, nat = 6, ntyp = 3
/
ATOMIC_SPECIES
Ni 58.69 Ni.upf
Zn 65.41 Zn.upf
Mg 24.30 Mg.upf
CELL_PARAMETERS angstrom
-0.074 -0.074 4.899
-4.182 -0.944 2.373
-0.563 -4.247 2.378
ATOMIC_POSITIONS crystal
Ni 0.000 0.000 0.000
Zn 0.374 0.374 0.374
Zn 0.374 0.374 0.877
Zn 0.877 0.374 0.374
Zn 0.374 0.877 0.374
Mg 0.750 0.750 0.750
```

Output
Space-group type: F-43m
Energy of formation from the pure elements: -0.1263 eV/atom
DOS at the Fermi energy: 0.219 states/eV per atom
E_tot: -12.66 eV/atom
Magnetization: 0.000 μB per cell



A PBEsol-optimized structure of HfAs3Pb, computed with SCAN. Values from VASP.

Quantum ESPRESSO input file:
```
&SYSTEM
  ibrav = 0, nat = 5, ntyp = 3
/
ATOMIC_SPECIES
Pb 207.20 Pb.upf
As 74.92 As.upf
Hf 178.49 Hf.upf
CELL_PARAMETERS angstrom
5.125 0.000 0.000
0.000 5.125 0.000
0.000 0.000 5.125
ATOMIC_POSITIONS crystal
Pb 0.000 0.000 0.000
As 0.000 0.500 0.000
As 0.000 0.000 0.500
As 0.500 0.000 0.000
Hf 0.500 0.500 0.500
```

Output
Space-group type: Pm-3m
Energy of formation from the pure elements: 1.3084 eV/atom
DOS at the Fermi energy: 0.752 states/eV per atom
E_tot: -38.50 eV/atom
Magnetization: 0.000 μB per cell



A PBEsol-optimized structure of CsBaSb2Te, computed with SCAN. Values from VASP.

Quantum ESPRESSO input file:
```
&SYSTEM
  ibrav = 0, nat = 5, ntyp = 4
/
ATOMIC_SPECIES
Cs 132.91 Cs.upf
Sb 121.76 Sb.upf
Te 127.60 Te.upf
Ba 137.33 Ba.upf
CELL_PARAMETERS angstrom
-2.744 -4.441 2.945
1.266 -3.761 -4.492
5.373 -1.488 2.761
ATOMIC_POSITIONS crystal
Cs 0.000 0.000 0.000
Sb 0.000 0.500 0.000
Sb 0.500 0.000 0.000
Te 0.000 0.000 0.500
Ba 0.500 0.500 0.500
```

Output
Space-group type: P4/mmm
DOS at the Fermi energy: 0.992 states/eV per atom
E_tot: -37.42 eV/atom
Magnetization: 0.000 μB per cell
Uncorrected formation energy: 0.407 eV per atom